Compound: AcNiPH
Source: the Alexandria database
Functional: PBE-GGA
Structure: relaxed

- Uncorrected energy: -5.527 eV/atom
- Space-group type: P4/nmm

Cell: 4.0371 4.0371 8.2774 Å, 90.00 90.00 90.00°
Positions (direct):
Ac  0.0000  0.5000  0.3086
Ac  0.5000  0.0000  0.6914
P  0.0000  0.5000  0.8642
P  0.5000  0.0000  0.1358
Ni  0.5000  0.5000  0.0000
Ni  0.0000  0.0000  0.0000
H  0.0000  0.0000  0.5000
H  0.5000  0.5000  0.5000

Compound: NbP2SF
Source: the Alexandria database
Functional: PBE-GGA
Structure: relaxed

- Uncorrected energy: -4.947 eV/atom
- Relative energy among the computed polymorphs: 0.3684 eV per atom
- Space-group type: P4/mmm
- E_form (uncorrected): 208 kJ/mol of formula units

Cell: 3.9593 3.9593 5.0116 Å, 90.00 90.00 90.00°
Each line ends with the local moment (μB).
Positions (direct):
Nb  0.5000  0.5000  0.5000  0.32
P  0.0000  0.5000  0.0000  -0.02
P  0.5000  0.0000  0.0000  -0.02
S  0.0000  0.0000  0.5000  -0.03
F  0.0000  0.0000  0.0000  0.00

Compound: Pm6Sm3Y
Source: the Alexandria database
Functional: PBE-GGA
Structure: relaxed

- Uncorrected energy: -4.696 eV/atom
- Relative energy among the computed polymorphs: 0.0760 eV per atom
- Formation energy from the elements: 0.217 eV/atom
- Space-group type: C2/m

Cell: 7.4082 13.6969 6.0145 Å, 122.89 128.01 90.00°
Positions (direct):
Pm  0.3023  0.7482  0.1807
Pm  0.1216  0.2518  0.8193
Pm  0.5709  0.9273  0.1418
Pm  0.8784  0.7482  0.1807
Pm  0.6977  0.2518  0.8193
Pm  0.4291  0.0727  0.8582
Sm  0.7849  0.4272  0.5699
Sm  0.0000  0.0000  0.0000
Sm  0.2151  0.5728  0.4301
Y  0.5000  0.5000  0.0000

Compound: Zr2Pd2Br
Source: the Alexandria database
Functional: PBE-GGA
Structure: relaxed

- Uncorrected energy: -6.352 eV/atom
- Space-group type: P4/mbm
- E_form (uncorrected): -251 kJ/mol of formula units

Cell: 7.6327 7.6327 3.4840 Å, 90.00 90.00 90.00°
Positions (direct):
Zr  0.3351  0.8351  0.0000
Zr  0.1649  0.3351  0.0000
Zr  0.8351  0.6649  0.0000
Zr  0.6649  0.1649  0.0000
Br  0.0000  0.0000  0.0000
Br  0.5000  0.5000  0.0000
Pd  0.8724  0.3724  0.5000
Pd  0.1276  0.6276  0.5000
Pd  0.6276  0.8724  0.5000
Pd  0.3724  0.1276  0.5000

Compound: TaMoW2
Source: the Alexandria database
Functional: PBE-GGA
Structure: relaxed

- Uncorrected energy: -12.227 eV/atom
- Relative energy among the computed polymorphs: 0.0517 eV per atom
- Formation energy from the elements: -0.080 eV/atom
- Space-group type: Cmm2

Cell: 2.7813 2.7813 9.0615 Å, 90.00 90.00 109.90°
Positions (direct):
W  0.5000  0.5000  0.2508
W  0.0000  0.0000  0.0050
Ta  0.5000  0.5000  0.7490
Mo  0.0000  0.0000  0.4952

Compound: HfSi3Pt
Source: the Alexandria database
Functional: PBE-GGA
Structure: relaxed

- Uncorrected energy: -5.235 eV/atom
- Space-group type: Pm-3m
- E_form (uncorrected): 587 kJ/mol of formula units

Cell: 4.9562 4.9562 4.9562 Å, 90.00 90.00 90.00°
Positions (direct):
Pt  0.5000  0.5000  0.5000
Hf  0.0000  0.0000  0.0000
Si  0.0000  0.0000  0.5000
Si  0.5000  0.0000  0.0000
Si  0.0000  0.5000  0.0000

Compound: SrAc2Ge3Pd4
Source: the Alexandria database
Functional: PBE-GGA
Structure: relaxed

- Uncorrected energy: -5.198 eV/atom
- Formation energy from the elements: -0.746 eV/atom
- Space-group type: P-4m2

Cell: 4.4729 4.4729 11.4441 Å, 90.00 90.00 90.00°
Positions (direct):
Pd  0.5000  0.0000  0.6673
Pd  0.0000  0.5000  0.3327
Pd  0.5000  0.5000  0.0000
Pd  0.0000  0.0000  0.0000
Ge  0.0000  0.5000  0.1130
Ge  0.0000  0.0000  0.5000
Ge  0.5000  0.0000  0.8870
Sr  0.5000  0.5000  0.5000
Ac  0.0000  0.5000  0.7769
Ac  0.5000  0.0000  0.2231

Compound: TmMnPdAu
Source: the Alexandria database
Functional: PBE-GGA
Structure: relaxed

- Uncorrected energy: -6.042 eV/atom
- Formation energy from the elements: -0.515 eV/atom
- Space-group type: F-43m

Cell: 4.7375 4.7375 4.7375 Å, 60.00 60.00 60.00°
Each line ends with the local moment (μB).
Positions (direct):
Tm  0.2500  0.2500  0.2500  -0.03
Au  0.0000  0.0000  0.0000  0.03
Mn  0.7500  0.7500  0.7500  4.00
Pd  0.5000  0.5000  0.5000  0.13

Compound: Nd3PtPb
Source: the Alexandria database
Functional: PBE-GGA
Structure: relaxed

- Uncorrected energy: -5.406 eV/atom
- Formation energy from the elements: -0.596 eV/atom
- Space-group type: Cmmm

Cell: 4.4056 8.8636 8.8677 Å, 70.09 90.00 90.00°
Positions (direct):
Nd  0.8635  0.0118  0.6734
Nd  0.8629  0.7677  0.4284
Nd  0.8629  0.6207  0.0644
Nd  0.3633  0.0286  0.0809
Nd  0.8635  0.3764  0.8195
Nd  0.3633  0.3596  0.4121
Pb  0.3632  0.6942  0.7463
Pb  0.8633  0.1943  0.2463
Pt  0.3629  0.6941  0.2465
Pt  0.3635  0.1941  0.7465

Compound: Na2CaTm
Source: the Alexandria database
Functional: PBE-GGA
Structure: relaxed

- Uncorrected energy: -1.977 eV/atom
- Formation energy from the elements: 0.301 eV/atom
- Space-group type: R-3m

Cell: 3.5404 3.5404 13.6029 Å, 82.52 82.52 60.00°
Positions (direct):
Na  0.9153  0.9153  0.2542
Na  0.0847  0.0847  0.7458
Ca  0.5000  0.5000  0.5000
Tm  0.0000  0.0000  0.0000

Q: What is the formula in the tenth record?
A: Na2CaTm